DFT (PBE) results for an optimized crystal structure of Ce2ZrO6.

Values from the calculation:
The calculation puts the magnetic moment at 0.0 Bohr magnetons per cell.

abc: 6.550 6.550 6.550
angles: 146.26 131.72 60.20
Fractional coordinates of all 9 atoms:
O 0.763 0.500 0.263
O 0.237 0.500 0.737
Ce 0.335 0.335 0.000
O 0.405 0.161 0.244
O 0.083 0.839 0.244
O 0.917 0.161 0.756
Ce 0.665 0.665 0.000
O 0.595 0.839 0.756
Zr 0.000 0.000 0.000

---

DFT (PBE) results for an optimized crystal structure of TlBi2Se.

Values from the calculation:
The calculation puts the magnetic moment at 0.0 Bohr magnetons per cell.

abc: 5.424 5.424 5.424
angles: 60.00 60.00 60.00
Fractional coordinates of all 4 atoms:
Bi 0.750 0.750 0.750
Bi 0.250 0.250 0.250
Se 0.000 0.000 0.000
Tl 0.500 0.500 0.500

---

DFT (PBE) results for an optimized crystal structure of TeIrOs.

Values from the calculation:
The calculation puts the magnetic moment at 0.0 Bohr magnetons per cell.

abc: 6.310 6.310 6.310
angles: 152.68 152.68 39.02
Fractional coordinates of all 3 atoms:
Te 0.677 0.677 0.000
Os 0.342 0.342 0.000
Ir 0.982 0.982 0.000

---

Record-wise DOS at the Fermi energy values, in states/eV per atom: 0.000 0.648 0.661
Record-wise ΔE_f (raw) values, in eV per atom: -3.37 0.13 0.73
Record-wise electronic total energy values, in eV per formula unit: -80.54 -13.11 -21.04